# 1
Cs2UAg2S6: optimized geometry, PBE.

Lattice parameters (Å, degrees): 7.5305 7.5305 7.5221 90.00 90.00 120.00
Space group P-3 (No. 147)
Symmetry-distinct sites (fractional):
Cs (0.3333, 0.6667, 0.3014)
U (0.0000, 0.0000, 0.0000)
Ag (0.3333, 0.6667, 0.8141)
S (0.1382, 0.3030, 0.7870)

Values from the calculation:
calculated volume = 33.58 A^3/atom
formation energy without anion corrections = -0.69 eV/atom
ρ = 4.10 g/cm3

---

# 2
Cs3U2AgS9: optimized geometry, PBE.

Lattice parameters (Å, degrees): 7.3919 7.3919 9.1209 90.00 90.00 120.00
Space group P-3m1 (No. 164)
Symmetry-distinct sites (fractional):
Cs (0.0000, 0.0000, 0.0000)
Cs (0.3333, 0.6667, 0.6568)
U (0.3333, 0.6667, 0.1712)
Ag (0.0000, 0.0000, 0.5000)
S (0.0000, 0.5000, 0.0000)
S (0.1713, 0.3426, 0.3189)

Values from the calculation:
calculated volume = 28.77 A^3/atom
formation energy without anion corrections = -0.97 eV/atom
ρ = 4.89 g/cm3

---

# 3
CsUAgS3: optimized geometry, PBE.

Lattice parameters (Å, degrees): 4.139 15.542 10.539 90.00 90.00 90.00
Space group Cmcm (No. 63)
Symmetry-distinct sites (fractional):
Cs (0.000, 0.239, 0.250)
U (0.000, 0.500, 0.000)
Ag (0.000, 0.046, 0.750)
S (0.000, 0.113, 0.536)
S (0.000, 0.447, 0.750)

Values from the calculation:
calculated volume = 28.25 A^3/atom
formation energy without anion corrections = -1.14 eV/atom
ρ = 5.63 g/cm3

---

# 4
Cs2UAgS6: optimized geometry, PBE.

Lattice parameters (Å, degrees): 7.443 7.443 10.140 90.00 90.00 90.00
Space group I4/mmm (No. 139)
Symmetry-distinct sites (fractional):
Cs (0.000, 0.500, 0.250)
U (0.000, 0.000, 0.000)
Ag (0.000, 0.000, 0.500)
S (0.000, 0.000, 0.250)
S (0.239, 0.239, 0.000)

Values from the calculation:
calculated volume = 28.08 A^3/atom
formation energy without anion corrections = -0.69 eV/atom
ρ = 4.75 g/cm3